Entry 1:
This record from Alexandria via LeMat-Bulk describes NaCu2NiP after structural relaxation. The functional is GGA-PBE.

The structure in POSCAR format:
```
NaCu2NiP
1.0
4.411 0.000 0.000
0.000 4.411 0.000
0.000 0.000 4.262
Na Cu Ni P
1 2 1 1
Cartesian
0.000 0.000 0.000
0.000 2.206 2.131
2.206 0.000 2.131
2.206 2.206 0.000
2.206 2.206 2.131
```

electronic total energy	-4.1636	eV per atom
N(E_F)	0.7	states/eV/f.u.
space group	P4/mmm (123)

***

Entry 2:
This record from Alexandria via LeMat-Bulk describes CaMnCl2 after structural relaxation. The functional is GGA-PBE.

The structure in POSCAR format:
```
CaMnCl2
1.0
3.834 0.000 0.000
-1.917 3.320 0.000
0.000 0.000 27.651
Ca Mn Cl
3 3 6
Cartesian
0.000 0.000 0.000
0.000 2.214 18.434
1.917 1.107 9.217
0.000 0.000 6.523
0.000 2.214 24.957
1.917 1.107 15.740
0.000 0.000 14.458
0.000 0.000 19.991
0.000 2.214 5.241
0.000 2.214 10.774
1.917 1.107 1.557
1.917 1.107 23.675
```

electronic total energy	-4.7062	eV per atom
N(E_F)	0.5	states/eV/f.u.
ΔE_f (raw)	-990	meV per atom
space group	R3m (160)

***

Entry 3:
This record from Alexandria via LeMat-Bulk describes KAg2Pd after structural relaxation. The functional is GGA-PBE.

The structure in POSCAR format:
```
KAg2Pd
1.0
7.013 0.000 0.000
0.000 7.013 0.000
0.000 0.000 7.013
K Ag Pd
4 8 4
Cartesian
0.000 0.000 0.000
0.000 3.506 3.506
3.506 0.000 3.506
3.506 3.506 0.000
1.753 1.753 1.753
1.753 1.753 5.260
1.753 5.260 1.753
1.753 5.260 5.260
5.260 1.753 1.753
5.260 1.753 5.260
5.260 5.260 1.753
5.260 5.260 5.260
0.000 0.000 3.506
0.000 3.506 0.000
3.506 0.000 0.000
3.506 3.506 3.506
```

electronic total energy	-2.7379	eV per atom
N(E_F)	1.1	states/eV/f.u.
space group	Fm-3m (225)